# 1
A geometry-optimized ScAsPd structure. Source: the Alexandria database, functional GGA-PBE.

CIF file:
```
data_ScAsPd
_space_group_name_H-M_alt 'P 1'
_space_group_IT_number 1
_space_group_name_Hall 'P 1'
_cell_length_a 3.6930
_cell_length_b 3.6930
_cell_length_c 4.7845
_cell_angle_alpha 112.70
_cell_angle_beta 112.70
_cell_angle_gamma 90.00
loop_
_atom_site_label
_atom_site_fract_x
_atom_site_fract_y
_atom_site_fract_z
Sc1 0.6140 0.6140 0.2280
As1 0.2785 0.2785 0.5569
Pd1 0.9576 0.9576 0.9151
```

Results
Energy relative to the elements ... -17.9 kcal/mol of atoms
Total energy ... -6.167 eV per atom

---

# 2
A geometry-optimized CaHg3F structure. Source: the Alexandria database, functional GGA-PBE.

CIF file:
```
data_CaHg3F
_space_group_name_H-M_alt 'P 1'
_space_group_IT_number 1
_space_group_name_Hall 'P 1'
_cell_length_a 6.0961
_cell_length_b 6.0961
_cell_length_c 6.0961
_cell_angle_alpha 90.00
_cell_angle_beta 90.00
_cell_angle_gamma 90.00
loop_
_atom_site_label
_atom_site_fract_x
_atom_site_fract_y
_atom_site_fract_z
Ca1 0.0000 0.0000 0.0000
Hg1 0.0000 0.5000 0.0000
Hg2 0.0000 0.0000 0.5000
Hg3 0.5000 0.0000 0.0000
F1 0.5000 0.5000 0.5000
```

Results
ΔE_f (raw) ... -0.219 eV/atom
Total energy ... -1.175 eV per atom

---

# 3
A geometry-optimized Nd2Sm4Y structure. Source: the Alexandria database, functional GGA-PBE.

CIF file:
```
data_Nd2Sm4Y
_space_group_name_H-M_alt 'P 1'
_space_group_IT_number 1
_space_group_name_Hall 'P 1'
_cell_length_a 13.4362
_cell_length_b 6.6245
_cell_length_c 10.9412
_cell_angle_alpha 90.00
_cell_angle_beta 90.00
_cell_angle_gamma 90.00
loop_
_atom_site_label
_atom_site_fract_x
_atom_site_fract_y
_atom_site_fract_z
Nd1 0.9244 0.0000 0.8322
Nd2 0.4244 0.5000 0.1678
Nd3 0.0756 0.5000 0.6678
Nd4 0.5756 0.0000 0.3322
Nd5 0.0756 0.0000 0.1678
Nd6 0.5756 0.5000 0.8322
Nd7 0.9244 0.5000 0.3322
Nd8 0.4244 0.0000 0.6678
Sm1 0.7500 0.7499 0.5152
Sm2 0.2500 0.7501 0.4848
Sm3 0.2500 0.2499 0.9848
Sm4 0.7500 0.2501 0.0152
Sm5 0.2500 0.2501 0.4848
Sm6 0.7500 0.2499 0.5152
Sm7 0.7500 0.7501 0.0152
Sm8 0.2500 0.7499 0.9848
Sm9 0.1625 0.9999 0.7400
Sm10 0.6625 0.5001 0.2600
Sm11 0.8375 0.4999 0.7600
Sm12 0.3375 0.0001 0.2400
Sm13 0.8375 0.0001 0.2600
Sm14 0.3375 0.4999 0.7400
Sm15 0.1625 0.5001 0.2400
Sm16 0.6625 0.9999 0.7600
Y1 0.0000 0.0000 0.5000
Y2 0.5000 0.5000 0.5000
Y3 0.0000 0.5000 0.0000
Y4 0.5000 0.0000 0.0000
```

Results
Energy relative to the elements ... 3.9 kcal/mol of atoms
Total energy ... -4.813 eV per atom

---

# 4
A geometry-optimized LiCuPO4 structure. Source: the Alexandria database, functional GGA-PBE.

CIF file:
```
data_LiCuPO4
_space_group_name_H-M_alt 'P 1'
_space_group_IT_number 1
_space_group_name_Hall 'P 1'
_cell_length_a 4.8606
_cell_length_b 7.6531
_cell_length_c 8.9792
_cell_angle_alpha 90.00
_cell_angle_beta 90.00
_cell_angle_gamma 90.00
loop_
_atom_site_label
_atom_site_fract_x
_atom_site_fract_y
_atom_site_fract_z
Li1 0.9693 0.0412 0.6255
Li2 0.4693 0.4588 0.1255
Li3 0.9693 0.5412 0.8745
Li4 0.4693 0.9588 0.3745
Cu1 0.9615 0.1660 0.0416
Cu2 0.4615 0.3340 0.5416
Cu3 0.9615 0.6660 0.4584
Cu4 0.4615 0.8340 0.9584
P1 0.5580 0.2273 0.8528
P2 0.0580 0.2727 0.3528
P3 0.5580 0.7273 0.6472
P4 0.0580 0.7727 0.1472
O1 0.6605 0.0522 0.9328
O2 0.2100 0.1375 0.4574
O3 0.2492 0.2549 0.8487
O4 0.6836 0.2192 0.6938
O5 0.1836 0.2808 0.1938
O6 0.7492 0.2451 0.3487
O7 0.7100 0.3625 0.9574
O8 0.1605 0.4478 0.4328
O9 0.6605 0.5522 0.5672
O10 0.2100 0.6375 0.0426
O11 0.2492 0.7549 0.6513
O12 0.6836 0.7192 0.8062
O13 0.1836 0.7808 0.3062
O14 0.7492 0.7451 0.1513
O15 0.7100 0.8625 0.5426
O16 0.1605 0.9478 0.0672
```

Results
ΔE_f (raw) ... -1.769 eV/atom
Total energy ... -6.233 eV per atom